! Cs2ZrZnFe GGA-PBE relaxed; values from VASP
&SYSTEM
  ibrav = 0, nat = 5, ntyp = 4
/
ATOMIC_SPECIES
Cs 132.91 Cs.upf
Zn 65.41 Zn.upf
Fe 55.84 Fe.upf
Zr 91.22 Zr.upf
ATOMIC_POSITIONS angstrom
Cs 0.0000 0.0000 3.6568
Zn 3.6568 2.1706 3.6568
Cs 3.6568 0.0000 0.0000
Fe 0.0000 2.1706 0.0000
Zr 0.0000 0.0000 0.0000
CELL_PARAMETERS angstrom
7.3135 0.0000 0.0000
0.0000 4.3412 0.0000
0.0000 0.0000 7.3135
! magnetization	0.000	Bohr magnetons per cell
! uncorrected energy	-2.886	eV/atom
! SG	P4/mmm